Er5NpS6 after structural relaxation, computed with PBE-GGA. Values from VASP.

```
&SYSTEM
  ibrav = 0, nat = 12, ntyp = 3
/
ATOMIC_SPECIES
Np 237.00 Np.upf
S 32.06 S.upf
Er 167.26 Er.upf
ATOMIC_POSITIONS angstrom
Np 0.000 0.000 0.000
S 5.140 0.616 3.284
S 2.659 3.315 4.405
S 2.086 1.460 1.082
S 6.185 4.320 3.202
S 5.726 2.521 6.586
S 3.245 5.220 7.707
Er 3.668 1.061 5.511
Er 0.581 1.885 3.338
Er 4.135 2.890 2.142
Er 1.167 3.787 6.643
Er 4.717 4.775 5.480
CELL_PARAMETERS angstrom
6.636 0.164 1.010
1.634 5.616 3.275
0.114 0.056 6.707
```

## Properties
The volume is 20.5 Å³ per atom. The calculation puts the total magnetization at 4.6 μB per cell. As for the density of states at the Fermi level: 14.9 states/eV per cell. The final energy comes out at -82.84 eV for the cell shown. As for the mass density: 8.53 Mg/m³.

Er2NpS6 after structural relaxation, computed with PBE-GGA. Values from VASP.

```
&SYSTEM
  ibrav = 0, nat = 18, ntyp = 3
/
ATOMIC_SPECIES
Er 167.26 Er.upf
Np 237.00 Np.upf
S 32.06 S.upf
ATOMIC_POSITIONS angstrom
Er 0.635 2.178 3.289
Er -2.287 4.038 9.859
Er -3.557 -0.319 3.280
Er 1.258 4.316 6.517
Np 0.000 0.000 0.000
Np -2.922 1.859 6.569
S -1.738 1.361 4.373
S -4.708 0.295 5.652
S -1.013 1.950 11.079
S -3.540 6.200 8.752
S -2.305 -2.482 4.386
S -4.832 1.768 2.059
S -1.137 3.423 7.486
S -4.107 2.357 8.765
S -2.259 -0.811 0.973
S -5.478 -1.965 2.359
S -1.725 -0.155 7.672
S -4.120 3.873 5.466
CELL_PARAMETERS angstrom
-5.919 2.061 -0.223
-1.818 -4.837 3.554
1.893 6.494 9.806
```

## Properties
The volume is 26.0 Å³ per atom. The calculation puts the total magnetization at 2.0 μB per cell. As for the density of states at the Fermi level: 2.3 states/eV per cell. The final energy comes out at -119.52 eV for the cell shown. As for the mass density: 5.41 Mg/m³.

Question: Among the records above, which one has the lowest total magnetization?
Answer: Er2NpS6